AsHF6: relaxed, PBE-GGA.

a b c (Å): 4.9985 5.0260 5.0935
angles (deg): 114.79 93.73 115.70
Space group P-1 (No. 2)
Symmetry-distinct sites (fractional):
As 0.0000 0.0000 0.0000 (multiplicity 1)
H 0.0000 0.5000 0.5000 (multiplicity 1)
F 0.0577 0.4318 0.2726 (multiplicity 2)
F 0.2171 0.1775 0.8048 (multiplicity 2)
F 0.3370 0.0965 0.2314 (multiplicity 2)

**Fermi-level density of states**: 0.000 states/eV/cell
**Electronic total energy**: -34.5 eV per cell
**Total magnetic moment**: 0.000 μB/f.u.

AsH2F: relaxed, PBE-GGA.

a b c (Å): 3.8806 3.8806 11.0628
angles (deg): 90.00 90.00 90.00
Space group I-42d (No. 122)
Symmetry-distinct sites (fractional):
As 0.0000 0.0000 0.0000 (multiplicity 4)
H 0.0852 0.2500 0.1250 (multiplicity 8)
F 0.0000 0.0000 0.5000 (multiplicity 4)

**Fermi-level density of states**: 1.514 states/eV/cell
**Electronic total energy**: -54.2 eV per cell
**Total magnetic moment**: 0.000 μB/f.u.

AsH2F: relaxed, PBE-GGA.

a b c (Å): 7.4483 4.6444 7.9887
angles (deg): 90.00 106.81 90.00
Space group C2 (No. 5)
Symmetry-distinct sites (fractional):
As 0.2456 0.0000 0.2848 (multiplicity 4)
H 0.0972 0.7624 0.2210 (multiplicity 4)
H 0.2035 0.1210 0.0976 (multiplicity 4)
F 0.0654 0.2612 0.7443 (multiplicity 4)

**Fermi-level density of states**: 0.000 states/eV/cell
**Electronic total energy**: -62.1 eV per cell
**Total magnetic moment**: 0.000 μB/f.u.